5
Lattice="3.986 0.000 0.000 0.000 3.986 0.000 0.000 0.000 5.027" Properties=species:S:1:pos:R:3 comment="ScPdSN2, PBEsol geometry, DFT SCAN" dft_energy_ha_per_atom=-0.527 raw_formation_energy_ev_per_atom=0.691 pbc="T T T"
Sc 0.000 0.000 0.000
Pd 1.993 1.993 2.514
S 0.000 0.000 2.514
N 0.000 1.993 0.000
N 1.993 0.000 0.000